*a*
## AcLa6Pr4 (PBE)

Data for an optimized crystal structure of AcLa6Pr4.

Cell lengths 6.1694, 11.6717, 11.6717 Å; angles 90.00, 90.00, 90.00 degrees
Site moments in Bohr magnetons follow the coordinates.
Positions (direct):
Ac (0.0000, 0.5000, 0.5000)  0.00
Ac (0.5000, 0.0000, 0.0000)  0.00
La (0.5000, 0.7934, 0.2066)  0.00
La (0.5000, 0.2066, 0.2066)  0.00
La (0.8687, 0.0000, 0.5000)  0.19
La (0.3687, 0.0000, 0.5000)  0.19
La (0.5000, 0.2066, 0.7934)  0.00
La (0.5000, 0.7934, 0.7934)  0.00
La (0.0000, 0.7066, 0.7066)  0.00
La (0.0000, 0.2934, 0.7066)  0.00
La (0.1313, 0.5000, 0.0000)  0.19
La (0.6313, 0.5000, 0.0000)  0.19
La (0.0000, 0.7066, 0.2934)  0.00
La (0.0000, 0.2934, 0.2934)  0.00
Pr (0.9860, 0.0000, 0.2103)  0.00
Pr (0.4860, 0.7103, 0.5000)  0.00
Pr (0.4860, 0.2897, 0.5000)  0.00
Pr (0.9860, 0.0000, 0.7897)  0.00
Pr (0.5140, 0.5000, 0.7103)  0.00
Pr (0.0140, 0.2103, 0.0000)  0.00
Pr (0.0140, 0.7897, 0.0000)  0.00
Pr (0.5140, 0.5000, 0.2897)  0.00

magnetization: 0.054 μB per atom
V: 38.2 Å³ per atom

*b*
## AcLa6Pr4 (PBE)

Data for an optimized crystal structure of AcLa6Pr4.

Cell lengths 7.9973, 7.9973, 8.8063 Å; angles 117.01, 117.01, 90.00 degrees
Positions (direct):
Ac (0.5000, 0.5000, 0.0000)
La (0.9380, 0.4519, 0.3900)
La (0.4519, 0.9380, 0.3900)
La (0.5481, 0.5481, 0.6100)
La (0.0000, 0.5000, 0.0000)
La (0.0620, 0.0620, 0.6100)
La (0.5000, 0.0000, 0.0000)
Pr (0.0908, 0.7541, 0.8450)
Pr (0.9092, 0.9092, 0.1550)
Pr (0.7541, 0.0908, 0.8450)
Pr (0.2459, 0.2459, 0.1550)

magnetization: 0.000 μB per atom
V: 39.3 Å³ per atom

*a* is favored, and the nearest alternative lies 93 meV per atom above it.

*a*
## AcLa8Pr6 (PBE)

Data for an optimized crystal structure of AcLa8Pr6.

Cell lengths 9.6963, 9.6963, 8.8766 Å; angles 56.90, 56.90, 60.00 degrees
Positions (direct):
Ac (0.0000, 0.0000, 0.0000)
La (0.3453, 0.2289, 0.5086)
La (0.7711, 0.0828, 0.4914)
La (0.0828, 0.6547, 0.4914)
La (0.5729, 0.5729, 0.2813)
La (0.4271, 0.4271, 0.7187)
La (0.9172, 0.3453, 0.5086)
La (0.2289, 0.9172, 0.5086)
La (0.6547, 0.7711, 0.4914)
Pr (0.4459, 0.8954, 0.9275)
Pr (0.1046, 0.2688, 0.0725)
Pr (0.2688, 0.5541, 0.0725)
Pr (0.7312, 0.4459, 0.9275)
Pr (0.8954, 0.7312, 0.9275)
Pr (0.5541, 0.1046, 0.0725)

magnetization: 0.000 μB per atom
V: 37.4 Å³ per atom

*b*
## AcLa8Pr6 (PBE)

Data for an optimized crystal structure of AcLa8Pr6.

Cell lengths 8.9511, 8.9511, 8.9511 Å; angles 66.64, 66.64, 66.64 degrees
Positions (direct):
Ac (0.0000, 0.0000, 0.0000)
La (0.1766, 0.5731, 0.8795)
La (0.1205, 0.8234, 0.4269)
La (0.4269, 0.1205, 0.8234)
La (0.7632, 0.7632, 0.7632)
La (0.2368, 0.2368, 0.2368)
La (0.5731, 0.8795, 0.1766)
La (0.8795, 0.1766, 0.5731)
La (0.8234, 0.4269, 0.1205)
Pr (0.1006, 0.3751, 0.6502)
Pr (0.3498, 0.8994, 0.6249)
Pr (0.6249, 0.3498, 0.8994)
Pr (0.3751, 0.6502, 0.1006)
Pr (0.6502, 0.1006, 0.3751)
Pr (0.8994, 0.6249, 0.3498)

magnetization: 0.000 μB per atom
V: 38.6 Å³ per atom

*a* is favored, and the nearest alternative lies 75 meV per atom above it.

*a*
## AcLa3Pr6 (PBE)

Data for an optimized crystal structure of AcLa3Pr6.

Cell lengths 9.4784, 9.2992, 9.2992 Å; angles 113.98, 90.00, 90.00 degrees
Positions (direct):
Ac (0.0604, 0.2952, 0.7048)
Ac (0.5604, 0.7048, 0.2952)
La (0.4960, 0.8556, 0.7129)
La (0.9960, 0.7129, 0.8556)
La (0.3352, 0.4629, 0.5371)
La (0.8352, 0.5371, 0.4629)
La (0.9960, 0.1444, 0.2871)
La (0.4960, 0.2871, 0.1444)
Pr (0.1609, 0.8254, 0.5360)
Pr (0.6609, 0.5360, 0.8254)
Pr (0.3336, 0.6787, 0.9725)
Pr (0.8336, 0.9725, 0.6787)
Pr (0.1803, 0.0615, 0.9385)
Pr (0.4283, 0.2336, 0.7664)
Pr (0.9283, 0.7664, 0.2336)
Pr (0.6803, 0.9385, 0.0615)
Pr (0.3336, 0.0275, 0.3213)
Pr (0.8336, 0.3213, 0.0275)
Pr (0.1609, 0.4640, 0.1746)
Pr (0.6609, 0.1746, 0.4640)

magnetization: 0.000 μB per atom
V: 37.4 Å³ per atom

*b*
## AcLa3Pr6 (PBE)

Data for an optimized crystal structure of AcLa3Pr6.

Cell lengths 10.2571, 10.2571, 7.2068 Å; angles 44.63, 44.63, 60.00 degrees
Positions (direct):
Ac (0.8755, 0.8755, 0.3736)
La (0.3815, 0.3815, 0.8554)
La (0.6183, 0.6183, 0.1452)
La (0.1512, 0.1512, 0.5465)
Pr (0.9074, 0.5912, 0.2420)
Pr (0.2594, 0.9074, 0.2420)
Pr (0.5912, 0.2594, 0.2420)
Pr (0.0856, 0.3919, 0.7844)
Pr (0.7381, 0.0856, 0.7844)
Pr (0.3919, 0.7381, 0.7844)

magnetization: 0.000 μB per atom
V: 37.4 Å³ per atom

*a* is favored, and the nearest alternative lies 133 meV per atom above it.